Record 1
Material: NaTl2Mo
Method: DFT, PBE
State: optimized geometry

Geometry as extended XYZ:
```
8
Lattice="-3.8962 -2.6848 -0.5419 2.7018 -3.9220 0.0058 -1.5167 -3.9227 9.4120" Properties=species:S:1:pos:R:3 pbc="T T T"
Na -0.5972 -3.3034 -0.2681
Na 0.2940 -5.5741 4.5749
Tl -2.6196 -3.2475 1.9952
Tl 0.9655 -3.6690 2.3088
Tl -1.6846 -5.2756 6.8578
Tl -2.0834 -8.8670 6.5901
Mo 0.0000 0.0000 0.0000
Mo -3.0050 -4.9555 4.3011
```

Values from the calculation:
- symmetry = I-42d (122)
- polymorph energy (0 for the lowest one) (meV per atom) = 332

Record 2
Material: NaTlMo3
Method: DFT, PBE
State: optimized geometry

Geometry as extended XYZ:
```
5
Lattice="-3.9947 1.4605 1.7824 -2.3006 -2.7303 -2.9189 0.1308 -3.4175 3.0936" Properties=species:S:1:pos:R:3 pbc="T T T"
Na 0.0000 0.0000 0.0000
Tl -3.0822 -2.3437 0.9786
Mo -1.1503 -1.3652 -1.4594
Mo 0.0654 -1.7088 1.5468
Mo -1.9973 0.7303 0.8912
```

Values from the calculation:
- symmetry = Pm-3m (221)

Record 3
Material: NaTlMo2
Method: DFT, PBE
State: optimized geometry

Geometry as extended XYZ:
```
8
Lattice="8.1899 0.0000 0.0000 0.0000 8.1899 0.0000 4.0949 4.0949 2.5376" Properties=species:S:1:pos:R:3 pbc="T T T"
Na 4.0949 4.0949 0.0000
Na 4.0949 8.1899 1.2688
Tl 0.0000 0.0000 0.0000
Tl 8.1899 4.0949 1.2688
Mo 6.4532 2.0475 0.6344
Mo 1.7367 6.1424 0.6344
Mo 6.1424 5.8316 1.9032
Mo 10.2373 10.5481 1.9032
```

Values from the calculation:
- symmetry = I-42d (122)
- polymorph energy (0 for the lowest one) (meV per atom) = 68

Record 4
Material: NaTlMo2
Method: DFT, PBE
State: optimized geometry

Geometry as extended XYZ:
```
4
Lattice="0.0000 3.3416 3.3416 3.3416 0.0000 3.3416 3.3416 3.3416 0.0000" Properties=species:S:1:pos:R:3 pbc="T T T"
Na 0.0000 0.0000 0.0000
Tl 3.3416 3.3416 3.3416
Mo 1.6708 1.6708 1.6708
Mo 5.0124 5.0124 5.0124
```

Values from the calculation:
- symmetry = Fm-3m (225)
- polymorph energy (0 for the lowest one) (meV per atom) = 0

Record 5
Material: NaTl2Mo
Method: DFT, PBE
State: optimized geometry

Geometry as extended XYZ:
```
4
Lattice="0.0000 3.5755 3.5755 3.5755 0.0000 3.5755 3.5755 3.5755 0.0000" Properties=species:S:1:pos:R:3 pbc="T T T"
Na 0.0000 0.0000 0.0000
Tl 1.7878 1.7878 1.7878
Tl 5.3633 5.3633 5.3633
Mo 3.5755 3.5755 3.5755
```

Values from the calculation:
- symmetry = Fm-3m (225)
- polymorph energy (0 for the lowest one) (meV per atom) = 0

Record 6
Material: Na2YTlMo
Method: DFT, PBE
State: optimized geometry

Geometry as extended XYZ:
```
5
Lattice="-1.7454 5.0685 -0.3013 -3.6149 -1.4678 -3.7497 -3.5939 -1.0082 3.8593" Properties=species:S:1:pos:R:3 pbc="T T T"
Y -4.4771 1.2963 -0.0959
Na -1.7970 -0.5041 1.9296
Na -0.8727 2.5342 -0.1507
Tl -1.8074 -0.7339 -1.8749
Mo 0.0000 0.0000 0.0000
```

Values from the calculation:
- symmetry = P4/mmm (123)

no.,DOS at the Fermi energy (states/eV/f.u.),ΔE_f (kJ/mol of formula units)
1,2.56,360
2,8.66,1197
3,3.53,531
4,6.09,505
5,2.07,232
6,6.12,530